No. 1
Density functional theory data (PBE-GGA) for an optimized crystal structure of Sr3YSn.

Cell and atoms, written as POSCAR:
```
Sr3YSn
1.0
6.325 0.000 0.000
0.000 6.325 0.000
0.000 0.000 6.325
Y Sr Sn
1 3 1
direct
0.500 0.500 0.500
0.000 0.500 0.000
0.000 0.000 0.500
0.500 0.000 0.000
0.000 0.000 0.000
```

E_tot (eV/atom): -2.94
V (A^3/atom): 50.612
E above lowest polymorph (kJ per mole of atoms): 0.0
E_form (eV/atom): 0.16

=====

No. 2
Density functional theory data (PBE-GGA) for an optimized crystal structure of TmB2.

Cell and atoms, written as POSCAR:
```
TmB2
1.0
3.417 0.000 -0.768
-0.173 3.413 -0.768
-0.403 -0.424 6.193
Tm B
2 4
direct
0.750 0.250 0.500
0.000 0.000 0.000
0.171 0.671 0.341
0.579 0.579 0.159
0.329 0.829 0.659
0.421 0.421 0.841
```

E_tot (eV/atom): -6.45
V (A^3/atom): 11.667
E above lowest polymorph (kJ per mole of atoms): 14.0
E_form (eV/atom): -0.51

=====

E_tot of number 1 (Sr3YSn)? -2.94 eV/atom